No. 1
Compound: TbY5P6
Source: Alexandria
Functional: PBE
Structure: optimized geometry

abc: 6.956 6.959 6.957
angles: 59.99 80.40 70.53
Fractional coordinates of all 12 atoms:
P: 0.250 0.917 0.666
P: 0.750 0.083 0.334
P: 0.250 0.250 0.000
P: 0.250 0.583 0.334
P: 0.750 0.417 0.666
P: 0.750 0.750 0.000
Y: 0.500 0.833 0.333
Y: 0.000 0.333 0.333
Y: 0.500 0.500 0.000
Y: 0.500 0.167 0.667
Y: 0.000 0.667 0.667
Tb: 0.000 0.000 0.000

magnetization	0.00	μB/f.u.
E_form	-1.63	eV/atom

***

No. 2
Compound: Tl4Rh3
Source: Alexandria
Functional: PBE
Structure: optimized geometry

abc: 5.557 5.557 5.388
angles: 90.00 90.00 120.00
Fractional coordinates of all 7 atoms:
Rh: 0.500 0.500 0.000
Rh: 0.500 0.000 0.000
Rh: 0.000 0.500 0.000
Tl: 0.000 0.000 0.753
Tl: 0.000 0.000 0.247
Tl: 0.333 0.667 0.500
Tl: 0.667 0.333 0.500

magnetization	0.86	μB/f.u.
E_form	0.31	eV/atom

***

No. 3
Compound: LiMgCd14
Source: Alexandria
Functional: PBE
Structure: optimized geometry

abc: 6.409 6.409 8.548
angles: 90.00 90.00 90.00
Fractional coordinates of all 16 atoms:
Cd: 0.128 0.622 0.746
Cd: 0.622 0.128 0.746
Cd: 0.375 0.875 0.500
Cd: 0.375 0.375 0.000
Cd: 0.622 0.622 0.746
Cd: 0.375 0.875 0.000
Cd: 0.128 0.128 0.254
Cd: 0.622 0.622 0.254
Cd: 0.875 0.375 0.000
Cd: 0.128 0.128 0.746
Cd: 0.875 0.875 0.000
Cd: 0.128 0.622 0.254
Cd: 0.622 0.128 0.254
Cd: 0.875 0.375 0.500
Li: 0.375 0.375 0.500
Mg: 0.875 0.875 0.500

magnetization	0.00	μB/f.u.
E_form	-0.06	eV/atom

***

No. 4
Compound: Sc3AgN
Source: Alexandria
Functional: PBE
Structure: optimized geometry

abc: 4.245 4.245 7.474
angles: 90.00 90.00 90.00
Fractional coordinates of all 5 atoms:
N: 0.500 0.500 0.450
Sc: 0.000 0.000 0.784
Sc: 0.000 0.500 0.434
Sc: 0.500 0.000 0.434
Ag: 0.000 0.000 0.162

raw formation energy	-19	meV per atom
magnetization	1.04	μB/f.u.
ΔE to the lowest computed polymorph	901	meV/atom

***

No. 5
Compound: CrAgSb2
Source: Alexandria
Functional: PBE
Structure: optimized geometry

abc: 5.484 5.484 5.023
angles: 74.51 74.51 36.63
Fractional coordinates of all 4 atoms:
Sb: 0.986 0.986 0.088
Sb: 0.753 0.753 0.688
Ag: 0.510 0.510 0.546
Cr: 0.252 0.252 0.178

raw formation energy	251	meV per atom
magnetization	3.66	μB/f.u.
ΔE to the lowest computed polymorph	45	meV/atom

***

No. 6
Compound: In2GaHgW
Source: Alexandria
Functional: PBE
Structure: optimized geometry

abc: 5.315 5.423 5.315
angles: 90.00 90.00 90.00
Fractional coordinates of all 5 atoms:
In: 0.500 0.000 0.000
In: 0.000 0.000 0.500
Ga: 0.500 0.500 0.500
Hg: 0.000 0.500 0.000
W: 0.000 0.000 0.000

magnetization	0.00	μB/f.u.
E_form	0.80	eV/atom

***

What did the fifth record say?
Compound: CrAgSb2
Source: Alexandria
Functional: PBE
Structure: optimized geometry

abc: 5.484 5.484 5.023
angles: 74.51 74.51 36.63
Fractional coordinates of all 4 atoms:
Sb: 0.986 0.986 0.088
Sb: 0.753 0.753 0.688
Ag: 0.510 0.510 0.546
Cr: 0.252 0.252 0.178

raw formation energy	251	meV per atom
magnetization	3.66	μB/f.u.
ΔE to the lowest computed polymorph	45	meV/atom

***

Question: Look up the magnetization of the sixth one.
Answer: 0.00 μB/f.u.